The following is a DFT calculation (GGA-PBE) of a geometry-optimized TlAsIr2 structure.

* formation enthalpy at 0 K: 254.3 meV/atom
* energy above the most stable polymorph in this dataset: 11 meV/atom
* space group: P4mm (99)

a = 2.936 Å, b = 2.936 Å, c = 9.069 Å
α = 90.00°, β = 90.00°, γ = 90.00°
Fractional coordinates of all 4 atoms:
Tl  0.000  0.000  0.456
Ir  0.000  0.000  0.003
Ir  0.500  0.500  0.208
As  0.500  0.500  0.833

=====

The following is a DFT calculation (GGA-PBE) of a geometry-optimized HgP2F structure.

* energy above the most stable polymorph in this dataset: 0 meV/atom
* formation energy (no corrections): -0.15 eV per atom
* space group: I-42d (122)

a = 3.525 Å, b = 3.525 Å, c = 11.330 Å
α = 81.05°, β = 81.05°, γ = 90.00°
Fractional coordinates of all 8 atoms:
P  0.579  0.125  0.250
P  0.171  0.625  0.250
P  0.375  0.421  0.750
P  0.875  0.829  0.750
Hg  0.000  0.000  0.000
Hg  0.750  0.250  0.500
F  0.500  0.500  0.000
F  0.250  0.750  0.500

=====

The following is a DFT calculation (GGA-PBE) of a geometry-optimized CaCO3 structure.

* formation energy (no corrections): -2.22 eV per atom
* space group: Ama2 (40)

a = 4.598 Å, b = 3.999 Å, c = 8.529 Å
α = 90.00°, β = 90.00°, γ = 125.10°
Fractional coordinates of all 10 atoms:
C  0.089  0.288  0.750
C  0.802  0.712  0.250
Ca  0.499  0.000  0.500
Ca  0.499  0.000  0.000
O  0.246  0.338  0.616
O  0.908  0.662  0.384
O  0.908  0.662  0.116
O  0.246  0.338  0.884
O  0.770  0.197  0.750
O  0.573  0.803  0.250

=====

The following is a DFT calculation (GGA-PBE) of a geometry-optimized Li2CdIr structure.

* formation enthalpy at 0 K: -68.1 meV/atom
* space group: Imm2 (44)

a = 4.987 Å, b = 4.987 Å, c = 4.987 Å
α = 140.79°, β = 129.49°, γ = 65.74°
Fractional coordinates of all 4 atoms:
Cd  0.507  0.507  0.000
Ir  0.240  0.740  0.500
Li  0.995  0.995  0.000
Li  0.758  0.258  0.500

=====

The following is a DFT calculation (GGA-PBE) of a geometry-optimized Li2AsPd2 structure.

* formation enthalpy at 0 K: -330.0 meV/atom
* energy above the most stable polymorph in this dataset: 207 meV/atom
* space group: P4/mbm (127)

a = 6.657 Å, b = 6.657 Å, c = 3.156 Å
α = 90.00°, β = 90.00°, γ = 90.00°
Fractional coordinates of all 10 atoms:
As  0.000  0.000  0.000
As  0.500  0.500  0.000
Pd  0.177  0.677  0.500
Pd  0.677  0.823  0.500
Pd  0.823  0.323  0.500
Pd  0.323  0.177  0.500
Li  0.374  0.874  0.000
Li  0.874  0.626  0.000
Li  0.626  0.126  0.000
Li  0.126  0.374  0.000

=====

The following is a DFT calculation (GGA-PBE) of a geometry-optimized Ba3AlPd structure.

* formation enthalpy at 0 K: -68.2 meV/atom
* energy above the most stable polymorph in this dataset: 0 meV/atom
* space group: Pm-3m (221)

a = 6.110 Å, b = 6.110 Å, c = 6.110 Å
α = 90.00°, β = 90.00°, γ = 90.00°
Last column: magnetic moment on the atom in μB.
Fractional coordinates of all 5 atoms:
Ba  0.000  0.500  0.000  0.03
Ba  0.000  0.000  0.500  0.01
Ba  0.500  0.000  0.000  0.03
Pd  0.000  0.000  0.000  0.00
Al  0.500  0.500  0.500  0.08

=====

The following is a DFT calculation (GGA-PBE) of a geometry-optimized CeAsRhCl structure.

* formation energy (no corrections): -1.30 eV per atom
* space group: P4/nmm (129)

a = 4.242 Å, b = 4.242 Å, c = 8.904 Å
α = 90.00°, β = 90.00°, γ = 90.00°
Last column: magnetic moment on the atom in μB.
Fractional coordinates of all 8 atoms:
Ce  0.500  0.000  0.728  0.65
Ce  0.000  0.500  0.272  0.65
As  0.000  0.500  0.840  0.03
As  0.500  0.000  0.160  0.03
Rh  0.500  0.500  0.000  0.24
Rh  0.000  0.000  0.000  0.24
Cl  0.000  0.000  0.500  -0.01
Cl  0.500  0.500  0.500  -0.01

=====

The following is a DFT calculation (GGA-PBE) of a geometry-optimized SrAlCo4 structure.

* formation enthalpy at 0 K: 185.4 meV/atom
* space group: F-43m (216)

a = 5.010 Å, b = 5.010 Å, c = 5.010 Å
α = 60.00°, β = 60.00°, γ = 60.00°
Last column: magnetic moment on the atom in μB.
Fractional coordinates of all 6 atoms:
Sr  0.750  0.750  0.750  -0.10
Al  0.000  0.000  0.000  -0.02
Co  0.373  0.881  0.373  1.43
Co  0.881  0.373  0.373  1.43
Co  0.373  0.373  0.881  1.43
Co  0.373  0.373  0.373  1.43

=====

Size of the total moment (μB per atom)
0.000; 0.000; 0.000; 0.000; 0.000; 0.189; 0.250; 0.871